VASP calculation (PBE) on a relaxed structure of InCu2.

Cell and atoms, written as POSCAR:
```
InCu2
1.0
4.3257 0.0000 0.0000
-2.1628 3.7462 0.0000
0.0000 0.0000 2.8646
In Cu
1 2
Direct
0.0000 0.0000 0.0000
0.3333 0.6667 0.5000
0.6667 0.3333 0.5000
```

Results
Density of states at the Fermi level, states/eV per cell: 0.71
DFT total energy, eV per atom: -3.529
Formation enthalpy at 0 K, eV/atom: 0.11
Space group: P6/mmm (191)

VASP calculation (PBE) on a relaxed structure of In3Cu7.

Cell and atoms, written as POSCAR:
```
In3Cu7
1.0
6.7804 0.0000 0.0000
-0.0214 9.2102 0.0000
-1.2077 -2.8351 9.5937
In Cu
12 28
Direct
0.0213 0.1378 0.3773
0.1185 0.4937 0.3640
0.1746 0.6641 0.1063
0.2923 0.0302 0.0574
0.3574 0.2341 0.8176
0.4219 0.7809 0.4810
0.5781 0.2191 0.5190
0.6426 0.7659 0.1824
0.7077 0.9698 0.9426
0.8254 0.3359 0.8937
0.8815 0.5063 0.6360
0.9787 0.8622 0.6227
0.0278 0.0872 0.8657
0.0416 0.8119 0.3500
0.0610 0.7930 0.8682
0.1655 0.5004 0.8405
0.1982 0.3560 0.0632
0.2263 0.3503 0.5849
0.2566 0.6424 0.6646
0.2718 0.0488 0.5641
0.3459 0.9265 0.7730
0.3456 0.9603 0.3037
0.3592 0.2610 0.2880
0.4310 0.7340 0.9147
0.4698 0.5174 0.2498
0.5000 0.5000 0.0000
0.5000 0.5000 0.5000
0.5302 0.4826 0.7502
0.5690 0.2660 0.0853
0.6408 0.7390 0.7120
0.6544 0.0397 0.6963
0.6541 0.0735 0.2270
0.7282 0.9512 0.4359
0.7434 0.3576 0.3354
0.7737 0.6497 0.4151
0.8018 0.6440 0.9368
0.8345 0.4996 0.1595
0.9390 0.2070 0.1318
0.9584 0.1881 0.6500
0.9722 0.9128 0.1343
```

Results
Density of states at the Fermi level, states/eV per cell: 8.49
DFT total energy, eV per atom: -3.697
Formation enthalpy at 0 K, eV/atom: -0.01
Space group: P-1 (2)

VASP calculation (PBE) on a relaxed structure of InCu5.

Cell and atoms, written as POSCAR:
```
InCu5
1.0
4.1136 -1.9359 0.0000
4.1136 1.9359 0.0000
-1.5344 0.0000 5.1197
In Cu
1 5
Direct
0.0000 0.0000 0.0000
0.0000 0.0000 0.5000
0.3257 0.3257 0.6556
0.3381 0.3381 0.1896
0.6619 0.6619 0.8104
0.6743 0.6743 0.3444
```

Results
Density of states at the Fermi level, states/eV per cell: 1.77
DFT total energy, eV per atom: -3.847
Formation enthalpy at 0 K, eV/atom: 0.02
Space group: C2/m (12)

VASP calculation (PBE) on a relaxed structure of In3Cu.

Cell and atoms, written as POSCAR:
```
In3Cu
1.0
5.6966 0.0000 0.0000
0.0000 5.6966 0.0000
0.0000 0.0000 5.6966
In Cu
6 2
Direct
0.0000 0.2500 0.5000
0.0000 0.7500 0.5000
0.2500 0.5000 0.0000
0.5000 0.0000 0.2500
0.5000 0.0000 0.7500
0.7500 0.5000 0.0000
0.0000 0.0000 0.0000
0.5000 0.5000 0.5000
```

Results
Density of states at the Fermi level, states/eV per cell: 3.76
DFT total energy, eV per atom: -2.857
Formation enthalpy at 0 K, eV/atom: 0.22
Space group: Pm-3n (223)

VASP calculation (PBE) on a relaxed structure of In8Cu.

Cell and atoms, written as POSCAR:
```
In8Cu
1.0
-5.0250 5.0250 2.2637
5.0250 -5.0250 2.2637
5.0250 5.0250 -2.2637
In Cu
8 1
Direct
0.0000 0.3240 0.3240
0.0000 0.6760 0.6760
0.3240 0.0000 0.3240
0.3434 0.3434 0.6869
0.3434 0.6566 0.0000
0.6566 0.3434 0.0000
0.6566 0.6566 0.3131
0.6760 0.0000 0.6760
0.0000 0.0000 0.0000
```

Results
Density of states at the Fermi level, states/eV per cell: 4.57
DFT total energy, eV per atom: -2.792
Formation enthalpy at 0 K, eV/atom: 0.10
Space group: I4/mmm (139)

VASP calculation (PBE) on a relaxed structure of In2Cu.

Cell and atoms, written as POSCAR:
```
In2Cu
1.0
6.9156 -1.6519 0.0000
6.9156 1.6519 0.0000
-2.7037 0.0000 5.5565
In Cu
4 2
Direct
0.1339 0.1339 0.1331
0.1456 0.1456 0.6446
0.8544 0.8544 0.3554
0.8661 0.8661 0.8669
0.5000 0.5000 0.2694
0.5000 0.5000 0.7306
```

Results
Density of states at the Fermi level, states/eV per cell: 1.74
DFT total energy, eV per atom: -3.127
Formation enthalpy at 0 K, eV/atom: 0.06
Space group: C2/m (12)